[1]
A plane-wave DFT calculation with GGA-PBE was carried out for a relaxed Nd3Tl3CrS8 crystal.

## Properties
Its density of states at the Fermi level is 0.4313 states/eV per atom. The value obtained for the formation energy (no corrections) is -1.189 eV/atom.

Unit cell a=8.063 b=8.064 c=8.771 alpha=117.37 beta=89.99 gamma=120.00
Element x y z (fractional)
Nd (0.500, 0.000, 0.500)
Nd (0.500, 0.500, 0.500)
Nd (0.000, 0.500, 0.500)
Tl (0.000, 0.000, 0.000)
Tl (0.000, 0.500, 0.000)
Tl (0.500, 0.500, 0.000)
Cr (0.000, 0.000, 0.500)
S (0.263, 0.526, 0.289)
S (0.737, 0.474, 0.711)
S (0.791, 0.581, 0.311)
S (0.209, 0.419, 0.689)
S (0.791, 0.020, 0.311)
S (0.209, 0.980, 0.689)
S (0.229, 0.020, 0.311)
S (0.771, 0.980, 0.689)

***

[2]
A plane-wave DFT calculation with GGA-PBE was carried out for a relaxed NbCrPt14 crystal.

## Properties
Its density of states at the Fermi level is 1.4109 states/eV per atom. Its formation energy is -0.266 eV/atom.

Unit cell a=5.625 b=5.625 c=7.879 alpha=90.00 beta=90.00 gamma=90.00
Element x y z (fractional)
Nb (0.875, 0.875, 0.500)
Cr (0.375, 0.375, 0.500)
Pt (0.875, 0.875, 0.000)
Pt (0.375, 0.375, 0.000)
Pt (0.875, 0.375, 0.500)
Pt (0.875, 0.375, 0.000)
Pt (0.375, 0.875, 0.500)
Pt (0.375, 0.875, 0.000)
Pt (0.624, 0.126, 0.257)
Pt (0.624, 0.126, 0.743)
Pt (0.126, 0.624, 0.257)
Pt (0.126, 0.624, 0.743)
Pt (0.624, 0.624, 0.257)
Pt (0.624, 0.624, 0.743)
Pt (0.126, 0.126, 0.257)
Pt (0.126, 0.126, 0.743)

***

[3]
A plane-wave DFT calculation with GGA-PBE was carried out for a relaxed Mg2HRhAu crystal.

## Properties
Its density of states at the Fermi level is 0.3565 states/eV per atom. Its energy relative to the lowest polymorph listed for this composition is 202.5 meV per atom.

Unit cell a=4.334 b=4.334 c=3.674 alpha=90.00 beta=90.00 gamma=90.00
Element x y z (fractional)
Rh (0.500, 0.500, 0.500)
Mg (0.000, 0.500, 0.000)
Mg (0.500, 0.000, 0.000)
Au (0.000, 0.000, 0.500)
H (0.000, 0.000, 0.000)

***

[4]
A plane-wave DFT calculation with GGA-PBE was carried out for a relaxed Cs4Nd3ErTe8 crystal.

## Properties
The value obtained for the formation energy (no corrections) is -1.400 eV/atom.

Unit cell a=9.282 b=10.428 c=9.283 alpha=116.45 beta=120.00 gamma=90.00
Element x y z (fractional)
Cs (0.500, 0.000, 0.000)
Cs (0.500, 0.000, 0.500)
Cs (0.000, 0.000, 0.000)
Cs (0.000, 0.000, 0.500)
Nd (0.500, 0.500, 0.000)
Nd (0.500, 0.500, 0.500)
Nd (0.000, 0.500, 0.500)
Er (0.000, 0.500, 0.000)
Te (0.227, 0.692, 0.966)
Te (0.227, 0.692, 0.453)
Te (0.268, 0.304, 0.536)
Te (0.739, 0.692, 0.966)
Te (0.261, 0.308, 0.034)
Te (0.732, 0.696, 0.464)
Te (0.773, 0.308, 0.547)
Te (0.773, 0.308, 0.034)

***

[5]
A plane-wave DFT calculation with GGA-PBE was carried out for a relaxed La5Y2Er6 crystal.

## Properties
Its density of states at the Fermi level is 1.3102 states/eV per atom. Its formation energy is 0.097 eV/atom.

Unit cell a=3.620 b=11.692 c=20.708 alpha=90.00 beta=90.00 gamma=90.00
Element x y z (fractional)
La (0.500, 0.300, 0.452)
La (0.500, 0.700, 0.548)
La (0.500, 0.800, 0.048)
La (0.500, 0.200, 0.952)
La (0.500, 0.582, 0.272)
La (0.500, 0.418, 0.728)
La (0.500, 0.082, 0.228)
La (0.500, 0.918, 0.772)
La (0.500, 0.500, 0.000)
La (0.500, 0.000, 0.500)
Y (0.000, 0.328, 0.290)
Y (0.000, 0.672, 0.710)
Y (0.000, 0.828, 0.210)
Y (0.000, 0.172, 0.790)
Er (0.000, 0.079, 0.369)
Er (0.000, 0.921, 0.631)
Er (0.000, 0.579, 0.131)
Er (0.000, 0.421, 0.869)
Er (0.500, 0.324, 0.139)
Er (0.500, 0.676, 0.861)
Er (0.500, 0.824, 0.361)
Er (0.500, 0.176, 0.639)
Er (0.000, 0.562, 0.418)
Er (0.000, 0.438, 0.582)
Er (0.000, 0.062, 0.082)
Er (0.000, 0.938, 0.918)

***

Magnetic moment, respectively: 0.151, 0.139, 0.000, 0.000, 0.000 μB per atom.
Total DFT energy (no corrections), respectively: -5.46, -6.78, -3.74, -4.36, -4.90 eV per atom.
V, respectively: 27.90, 15.58, 13.80, 41.71, 33.71 A^3/atom.